1.
VASP calculation (PBE) on TbBe2IrRh after structural relaxation.

Results
M_tot = 0.0 μB per formula unit
Energy of formation = -0.679 eV/atom
N(E_F) = 3.627 states/eV/cell
DFT total energy = -6.338 eV per atom
Mass density = 10.4 g/cm3

Cell: 4.1632 4.1632 8.7326 Å, 90.00 90.00 90.00°
Space group I-4m2 (No. 119)
Asymmetric unit:
Tb1 0.0000 0.0000 0.0000 [2 per cell]
Be1 0.0000 0.0000 0.3533 [4 per cell]
Ir1 0.0000 0.5000 0.7500 [2 per cell]
Rh1 0.0000 0.5000 0.2500 [2 per cell]

***

2.
VASP calculation (PBE) on BeTeIr2Rh after structural relaxation.

Results
M_tot = 1.0 μB per formula unit
Formation energy from raw total energies = 1.6820 eV per atom
N(E_F) = 6.867 states/eV/cell
DFT total energy = -4.706 eV per atom
Mass density = 10.2 g/cm3

Cell: 4.8572 4.8572 4.2925 Å, 90.00 90.00 90.00°
Space group P4/mmm (No. 123)
Asymmetric unit:
Be1 0.0000 0.0000 0.0000 [1 per cell]
Te1 0.0000 0.0000 0.5000 [1 per cell]
Ir1 0.0000 0.5000 0.5000 [2 per cell]
Rh1 0.5000 0.5000 0.0000 [1 per cell]

***

3.
VASP calculation (PBE) on BeTeIrRh2 after structural relaxation.

Results
M_tot = 1.4 μB per formula unit
Formation energy from raw total energies = 0.6474 eV per atom
N(E_F) = 6.364 states/eV/cell
DFT total energy = -5.439 eV per atom
Mass density = 11.3 g/cm3

Cell: 4.1186 4.1186 4.6283 Å, 90.00 90.00 90.00°
Space group P4/mmm (No. 123)
Asymmetric unit:
Be1 0.0000 0.0000 0.0000 [1 per cell]
Te1 0.0000 0.0000 0.5000 [1 per cell]
Ir1 0.5000 0.5000 0.5000 [1 per cell]
Rh1 0.0000 0.5000 0.0000 [2 per cell]